Model A:
An optimized crystal structure of NaLaGePt, computed with PBE.

a = 6.931 Å, b = 6.931 Å, c = 6.931 Å
α = 90.00°, β = 90.00°, γ = 90.00°
Space group F-43m (No. 216)
Asymmetric unit:
Na 0.000 0.000 0.000 x4
La 0.250 0.250 0.750 x4
Ge 0.250 0.250 0.250 x4
Pt 0.000 0.000 0.500 x4



Model B:
An optimized crystal structure of NaLaGePt, computed with PBE.

a = 7.152 Å, b = 7.152 Å, c = 7.152 Å
α = 90.00°, β = 90.00°, γ = 90.00°
Space group F-43m (No. 216)
Asymmetric unit:
Na 0.000 0.000 0.000 x4
La 0.000 0.000 0.500 x4
Ge 0.250 0.250 0.750 x4
Pt 0.250 0.250 0.250 x4



So which one wins? Going from most stable to least: model A, model B.